VASP calculation (PBE) on a relaxed structure of Y2Fe2Mo.

Lattice parameters (Å, degrees): 7.2069 7.2069 7.2069 149.79 149.79 43.25
Last column: nearest neighbours and their distance in Å.
Fractional coordinates of all 5 atoms:
Y1 0.1050 0.1050 0.0000  4 Fe 2.70, 1 Y 2.81, 4 Mo 3.01
Y2 0.8950 0.8950 0.0000  4 Fe 2.70, 1 Y 2.81, 4 Mo 3.01
Fe1 0.2500 0.7500 0.5000  4 Fe 2.66, 4 Y 2.70
Fe2 0.7500 0.2500 0.5000  4 Fe 2.66, 4 Y 2.70
Mo1 0.5000 0.5000 0.0000  8 Y 3.01

Results
- electronic total energy (eV/atom) = -7.248
- ΔE_f (eV/atom) = 0.832

***

VASP calculation (PBE) on a relaxed structure of Ba3NdIr2O9.

Lattice parameters (Å, degrees): 5.9355 5.9355 14.8850 90.36 90.36 119.90
Last column: nearest neighbours and their distance in Å.
Fractional coordinates of all 30 atoms:
Ba1 0.0003 0.9997 0.2500  12 O 2.89-3.14
Ba2 0.9997 0.0003 0.7500  12 O 2.89-3.14
Ba3 0.3302 0.6627 0.9027  10 O 2.82-3.11
Ba4 0.3373 0.6698 0.5973  10 O 2.82-3.11
Ba5 0.6627 0.3302 0.4027  10 O 2.82-3.11
Ba6 0.6698 0.3373 0.0973  10 O 2.82-3.11
Nd1 0.0000 0.0000 0.0000  6 O 2.27-2.28
Nd2 0.0000 0.0000 0.5000  6 O 2.27-2.28
Ir1 0.3271 0.6596 0.3338  6 O 1.95-2.06
Ir2 0.3404 0.6729 0.1662  6 O 1.95-2.06
Ir3 0.6596 0.3271 0.8338  6 O 1.95-2.06
Ir4 0.6729 0.3404 0.6662  6 O 1.95-2.06
O1 0.0155 0.5049 0.2458  2 Ir 2.06
O2 0.1643 0.3432 0.4053  1 Ir 1.95
O3 0.1643 0.8096 0.4086  1 Ir 1.96
O4 0.1904 0.8357 0.0914  1 Ir 1.96
O5 0.1911 0.3722 0.0846  1 Ir 1.96
O6 0.3432 0.1643 0.9053  1 Ir 1.95
O7 0.3722 0.1911 0.5846  1 Ir 1.96
O8 0.4935 0.5065 0.2500  2 Ir 2.06
O9 0.4951 0.9845 0.2542  2 Ir 2.06
O10 0.5049 0.0155 0.7458  2 Ir 2.06
O11 0.5065 0.4935 0.7500  2 Ir 2.06
O12 0.6278 0.8089 0.4154  1 Ir 1.96
O13 0.6568 0.8357 0.0947  1 Ir 1.95
O14 0.8089 0.6278 0.9154  1 Ir 1.96
O15 0.8096 0.1643 0.9086  1 Ir 1.96
O16 0.8357 0.1904 0.5914  1 Ir 1.96
O17 0.8357 0.6568 0.5947  1 Ir 1.95
O18 0.9845 0.4951 0.7542  2 Ir 2.06

Results
- electronic total energy (eV/atom) = -6.908

***

VASP calculation (PBE) on a relaxed structure of Pr2SmIn3AgPt2.

Lattice parameters (Å, degrees): 4.0392 7.8484 7.8484 119.90 90.00 90.00
Last column: nearest neighbours and their distance in Å.
Fractional coordinates of all 9 atoms:
Pr1 0.0000 0.2073 0.7927  4 Pt 3.12, 4 In 3.26-3.49, 1 Ag 3.26
Pr2 0.0000 0.7927 0.2073  4 Pt 3.12, 4 In 3.26-3.49, 1 Ag 3.26
Sm1 0.0000 0.6226 0.6226  4 Pt 3.08, 2 In 3.24, 1 Ag 3.25
In1 0.5000 0.2096 0.4679  2 Ag 2.86, 2 Pt 2.93-2.99
In2 0.5000 0.4679 0.2096  2 Ag 2.86, 2 Pt 2.93-2.99
In3 0.5000 0.9457 0.9457  2 Ag 2.89, 2 Pt 2.92
Ag1 0.0000 0.2092 0.2092  6 In 2.86-2.89
Pt1 0.5000 0.5421 0.8713  3 In 2.92-2.99, 2 Sm 3.08, 4 Pr 3.12
Pt2 0.5000 0.8713 0.5421  3 In 2.92-2.99, 2 Sm 3.08, 4 Pr 3.12

Results
- electronic total energy (eV/atom) = -4.949

***

VASP calculation (PBE) on a relaxed structure of Dy2Sc2CICl4.

Lattice parameters (Å, degrees): 8.5785 8.5785 7.9999 104.72 104.72 24.98
Last column: nearest neighbours and their distance in Å.
Fractional coordinates of all 10 atoms:
Dy1 0.1450 0.1450 0.0833  1 C 2.34
Dy2 0.8550 0.8550 0.9167  1 C 2.34
Sc1 0.4998 0.4998 0.1848  2 C 2.37, 1 Cl 2.65
Sc2 0.5002 0.5002 0.8152  2 C 2.37, 1 Cl 2.65
C1 0.0000 0.0000 0.0000  2 Dy 2.34, 4 Sc 2.37
I1 0.0000 0.0000 0.5000  4 Sc 3.13
Cl1 0.3336 0.3336 0.1530  1 Sc 2.73, 2 Dy 2.74
Cl2 0.3392 0.3392 0.6679  1 Sc 2.65, 2 Dy 2.68
Cl3 0.6608 0.6608 0.3321  1 Sc 2.65, 2 Dy 2.68
Cl4 0.6664 0.6664 0.8470  1 Sc 2.73, 2 Dy 2.74

Results
- electronic total energy (eV/atom) = -5.549
- energy above the lowest structure with this stoichiometry (meV per atom) = 22

***

VASP calculation (PBE) on a relaxed structure of PrGdAg2Bi4.

Lattice parameters (Å, degrees): 4.5852 4.5852 10.4575 90.00 90.00 90.00
Last column: nearest neighbours and their distance in Å.
Fractional coordinates of all 8 atoms:
Pr1 0.0000 0.0000 0.0000  8 Bi 3.32-3.49, 4 Ag 3.54
Gd1 0.5000 0.5000 0.5034  8 Bi 3.30-3.44, 4 Ag 3.45
Ag1 0.0000 0.5000 0.2574  4 Bi 3.00-3.01, 4 Ag 3.24
Ag2 0.5000 0.0000 0.2574  4 Bi 3.00-3.01, 4 Ag 3.24
Bi1 0.0000 0.0000 0.4425  4 Ag 3.00, 4 Gd 3.30
Bi2 0.0000 0.5000 0.7483  4 Bi 3.24, 2 Gd 3.44, 2 Pr 3.49
Bi3 0.5000 0.0000 0.7483  4 Bi 3.24, 2 Gd 3.44, 2 Pr 3.49
Bi4 0.5000 0.5000 0.0702  4 Ag 3.01, 4 Pr 3.32

Results
- electronic total energy (eV/atom) = -4.422

***

VASP calculation (PBE) on a relaxed structure of LuSc2Tl.

Lattice parameters (Å, degrees): 5.1535 5.1535 5.1535 60.00 60.00 60.00
Last column: nearest neighbours and their distance in Å.
Fractional coordinates of all 4 atoms:
Lu1 0.0000 0.0000 0.0000  4 Tl 3.16, 4 Sc 3.16
Sc1 0.2500 0.2500 0.2500  4 Sc 3.16, 4 Lu 3.16
Sc2 0.5000 0.5000 0.5000  4 Tl 3.16, 4 Sc 3.16
Tl1 0.7500 0.7500 0.7500  4 Lu 3.16, 4 Sc 3.16

Results
- electronic total energy (eV/atom) = -4.914